[1]
Density functional theory data (GGA-PBE) for an optimized crystal structure of KPbF3.

POSCAR file:
```
KPbF3
1.0
7.542 0.000 0.000
0.000 7.542 0.000
0.000 0.000 7.542
K Pb F
4 4 12
Direct
0.877 0.877 0.877 K
0.623 0.123 0.377 K
0.377 0.623 0.123 K
0.123 0.377 0.623 K
0.096 0.904 0.404 Pb
0.404 0.096 0.904 Pb
0.596 0.596 0.596 Pb
0.904 0.404 0.096 Pb
0.977 0.214 0.347 F
0.153 0.023 0.714 F
0.214 0.347 0.977 F
0.286 0.653 0.477 F
0.347 0.977 0.214 F
0.523 0.786 0.847 F
0.477 0.286 0.653 F
0.653 0.477 0.286 F
0.714 0.153 0.023 F
0.786 0.847 0.523 F
0.847 0.523 0.786 F
0.023 0.714 0.153 F
```

For the spin magnetization, the calculation gives 0.00 μB per formula unit. Its symmetry is P2_13, No. 198. For the uncorrected formation energy, the calculation gives -2529 meV per atom.

[2]
Density functional theory data (GGA-PBE) for an optimized crystal structure of TaAg7.

POSCAR file:
```
TaAg7
1.0
-1.948 -2.186 5.111
-2.253 3.605 4.077
-5.776 -0.099 1.150
Ta Ag
1 7
Direct
0.000 0.000 0.000 Ta
0.500 0.000 0.000 Ag
0.000 0.000 0.500 Ag
0.500 0.000 0.500 Ag
0.000 0.500 0.000 Ag
0.500 0.500 0.000 Ag
0.000 0.500 0.500 Ag
0.500 0.500 0.500 Ag
```

As for the formation enthalpy at 0 K: 347.4 meV per atom. For the spin magnetization, the calculation gives 2.19 μB per formula unit. Its symmetry is Fm-3m, No. 225.

[3]
Density functional theory data (GGA-PBE) for an optimized crystal structure of UAlTcMo.

POSCAR file:
```
UAlTcMo
1.0
-0.988 -3.934 -2.145
-0.698 -3.827 2.433
-4.216 -1.785 0.309
Mo U Tc Al
1 1 1 1
Direct
0.000 0.000 0.000 Mo
0.750 0.750 0.750 U
0.500 0.500 0.500 Tc
0.250 0.250 0.250 Al
```

As for the formation enthalpy at 0 K: -72.0 meV per atom. For the spin magnetization, the calculation gives 0.76 μB per formula unit. Its symmetry is F-43m, No. 216.

[4]
Density functional theory data (GGA-PBE) for an optimized crystal structure of TcSeN2O.

POSCAR file:
```
TcSeN2O
1.0
3.806 0.000 0.000
0.000 3.806 0.000
0.000 0.000 3.866
O Tc Se N
1 1 1 2
Direct
0.000 0.000 0.000 O
0.500 0.500 0.500 Tc
0.000 0.000 0.500 Se
0.000 0.500 0.000 N
0.500 0.000 0.000 N
```

For the spin magnetization, the calculation gives 1.22 μB per formula unit. Its symmetry is P4/mmm, No. 123. For the uncorrected formation energy, the calculation gives 1976 meV per atom.

Please write out number 2 again, unchanged.
Density functional theory data (GGA-PBE) for an optimized crystal structure of TaAg7.

POSCAR file:
```
TaAg7
1.0
-1.948 -2.186 5.111
-2.253 3.605 4.077
-5.776 -0.099 1.150
Ta Ag
1 7
Direct
0.000 0.000 0.000 Ta
0.500 0.000 0.000 Ag
0.000 0.000 0.500 Ag
0.500 0.000 0.500 Ag
0.000 0.500 0.000 Ag
0.500 0.500 0.000 Ag
0.000 0.500 0.500 Ag
0.500 0.500 0.500 Ag
```

As for the formation enthalpy at 0 K: 347.4 meV per atom. For the spin magnetization, the calculation gives 2.19 μB per formula unit. Its symmetry is Fm-3m, No. 225.